## TaOsRh2 (PBE)

Data for a geometry-optimized TaOsRh2 structure.

The structure in CIF format:
```
data_TaOsRh2
_chemical_formula_sum 'Ta1 Os1 Rh2'
_space_group_name_H-M_alt 'P 1'
_space_group_IT_number 1
_cell_length_a 4.813
_cell_length_b 4.813
_cell_length_c 4.724
_cell_angle_alpha 100.43
_cell_angle_beta 100.43
_cell_angle_gamma 34.29
loop_
_space_group_symop_operation_xyz
'x,y,z'
loop_
_atom_site_label
_atom_site_fract_x
_atom_site_fract_y
_atom_site_fract_z
Ta1 0.000 0.000 0.000
Os1 0.500 0.500 0.500
Rh1 0.247 0.247 0.742
Rh2 0.753 0.753 0.258
```

* crystal system: monoclinic
* ΔH_f (0 K): -19.6 kJ per mole of atoms
* total magnetization: 0.00 Bohr magnetons per cell
* E above lowest polymorph: 0.223 eV per atom
* E: -9.650 eV/atom